No. 1
Here is a relaxed structure of NpReSi2 from the Alexandria database. Energies are from PBE.

abc: 4.1867 4.1867 5.1804
angles: 66.17 66.17 60.00
With the nearest neighbours (Å) after each atom.
Element x y z (fractional)
Si 0.7174 0.7174 0.8478  3 Re 2.52, 3 Si 2.79
Re 0.0000 0.0000 0.0000  6 Si 2.52
Si 0.2826 0.2826 0.1522  3 Re 2.52, 3 Si 2.79
Np 0.5000 0.5000 0.5000  8 Si 2.90-2.99

Computed properties:
size of the total moment = 3.2 μB/cell
D(E_F) = 10.3 states/eV per cell
symmetry = No. 166
formation energy from raw total energies = -180 meV per atom

=====

No. 2
Here is a relaxed structure of Tm3MgP from the Alexandria database. Energies are from PBE.

abc: 5.2371 5.2371 5.2371
angles: 90.00 90.00 90.00
With the nearest neighbours (Å) after each atom.
Element x y z (fractional)
Tm 0.5000 0.0000 0.0000  2 P 2.62
Tm 0.0000 0.0000 0.5000  2 P 2.62
Mg 0.5000 0.5000 0.5000  12 Tm 3.70
Tm 0.0000 0.5000 0.0000  2 P 2.62
P 0.0000 0.0000 0.0000  6 Tm 2.62

Computed properties:
size of the total moment = 0.0 μB/cell
D(E_F) = 7.2 states/eV per cell
uncorrected energy = -4.548 eV per atom
symmetry = No. 221

=====

No. 3
Here is a relaxed structure of As2IrSe from the Alexandria database. Energies are from PBE.

abc: 2.8870 2.8870 10.3308
angles: 90.00 90.00 120.03
With the nearest neighbours (Å) after each atom.
Element x y z (fractional)
Ir 0.0000 0.0000 0.4977  2 As 2.59, 2 Se 2.62, 6 Ir 2.89
Se 0.5000 0.5000 0.7093  2 Ir 2.62, 6 Se 2.89
As 0.5000 0.5000 0.2889  2 Ir 2.59, 6 As 2.89
As 0.0000 0.0000 0.0041  6 As 2.89

Computed properties:
size of the total moment = 0.0 μB/cell
D(E_F) = 3.2 states/eV per cell
symmetry = No. 35
formation energy from raw total energies = 411 meV per atom

=====

No. 4
Here is a relaxed structure of Pu2GaTc from the Alexandria database. Energies are from PBE.

abc: 3.1708 3.1708 10.5911
angles: 81.39 81.39 60.00
With the nearest neighbours (Å) after each atom.
Element x y z (fractional)
Ga 0.0000 0.0000 0.0000  2 Pu 3.04, 6 Ga 3.17
Pu 0.9028 0.9028 0.2917  3 Tc 2.84, 1 Ga 3.04, 6 Pu 3.17
Tc 0.5000 0.5000 0.5000  6 Pu 2.84, 6 Tc 3.17
Pu 0.0972 0.0972 0.7083  3 Tc 2.84, 1 Ga 3.04, 6 Pu 3.17

Computed properties:
size of the total moment = 10.6 μB/cell
D(E_F) = 12.8 states/eV per cell
uncorrected energy = -10.239 eV per atom
symmetry = No. 166

=====

No. 5
Here is a relaxed structure of HgRuIO6 from the Alexandria database. Energies are from PBE.

abc: 5.3528 5.3524 5.0147
angles: 90.02 90.02 60.00
With the nearest neighbours (Å) after each atom.
Element x y z (fractional)
O 0.6324 0.9951 0.2832  1 Ru 2.00, 1 I 2.03
Hg 0.0000 0.0000 0.0000  6 O 2.44
Ru 0.6666 0.6667 0.5000  6 O 2.00
O 0.9951 0.6325 0.7169  1 Ru 2.00, 1 I 2.03
O 0.6325 0.3725 0.7168  1 Ru 2.00, 1 I 2.03
O 0.3723 0.6325 0.2832  1 Ru 2.00, 1 I 2.03
O 0.9950 0.3725 0.2831  1 Ru 2.00, 1 I 2.03
O 0.3725 0.9951 0.7168  1 Ru 2.00, 1 I 2.03
I 0.3333 0.3333 0.5000  6 O 2.03

Computed properties:
size of the total moment = 1.1 μB/cell
D(E_F) = 3.4 states/eV per cell
symmetry = No. 149
formation energy from raw total energies = -449 meV per atom

=====

No. 6
Here is a relaxed structure of BaCa2GeO from the Alexandria database. Energies are from PBE.

abc: 4.8540 4.8540 5.2844
angles: 90.00 90.00 90.00
With the nearest neighbours (Å) after each atom.
Element x y z (fractional)
Ca 0.0000 0.5000 0.0000  2 O 2.43
Ge 0.5000 0.5000 0.5000  4 Ba 3.43, 8 Ca 3.59
Ca 0.5000 0.0000 0.0000  2 O 2.43
O 0.0000 0.0000 0.0000  4 Ca 2.43, 2 Ba 2.64
Ba 0.0000 0.0000 0.5000  2 O 2.64

Computed properties:
size of the total moment = 0.0 μB/cell
D(E_F) = 0.6 states/eV per cell
symmetry = No. 123
formation energy from raw total energies = -1360 meV per atom

=====

No. 7
Here is a relaxed structure of Ba2GaI from the Alexandria database. Energies are from PBE.

abc: 6.0642 6.0642 6.0642
angles: 60.00 60.00 60.00
With the nearest neighbours (Å) after each atom.
Element x y z (fractional)
Ba 0.2500 0.2500 0.2500  4 I 3.71, 4 Ga 3.71
Ba 0.7500 0.7500 0.7500  4 I 3.71, 4 Ga 3.71
Ga 0.0000 0.0000 0.0000  8 Ba 3.71
I 0.5000 0.5000 0.5000  8 Ba 3.71

Computed properties:
size of the total moment = 2.0 μB/cell
relative energy among the computed polymorphs = 217 meV per atom
D(E_F) = 3.4 states/eV per cell
symmetry = No. 225
formation energy from raw total energies = -626 meV per atom

=====

No. 8
Here is a relaxed structure of V4Cr2W from the Alexandria database. Energies are from PBE.

abc: 4.5542 4.5542 6.6697
angles: 70.04 70.04 90.00
With the nearest neighbours (Å) after each atom.
Element x y z (fractional)
V 0.0000 0.5000 0.0000  2 W 2.28
V 0.2092 0.2092 0.5816  1 Cr 1.99
V 0.5000 0.0000 0.0000  2 W 2.28
Cr 0.6204 0.6204 0.7592  1 V 1.99
W 0.0000 0.0000 0.0000  6 V 2.28-2.44
V 0.7908 0.7908 0.4184  1 Cr 1.99
Cr 0.3796 0.3796 0.2408  1 V 1.99

Computed properties:
size of the total moment = 1.3 μB/cell
relative energy among the computed polymorphs = 1013 meV per atom
D(E_F) = 9.1 states/eV per cell
symmetry = No. 139